Er2Tm8Sn: relaxed, PBE-GGA.

Cell and atoms, written as CIF:
```
data_Er2Tm8Sn
_chemical_formula_sum 'Er4 Tm16 Sn2'
_cell_length_a 19.092
_cell_length_b 5.449
_cell_length_c 6.305
_cell_angle_alpha 90.00
_cell_angle_beta 95.05
_cell_angle_gamma 90.00
_symmetry_space_group_name_H-M 'C 1 2/m 1'
_symmetry_Int_Tables_number 12
loop_
_symmetry_equiv_pos_as_xyz
'x,y,z'
'-x,-y,-z'
'-x,y,-z'
'x,-y,z'
'x+1/2,y+1/2,z'
'-x+1/2,-y+1/2,-z'
'-x+1/2,y+1/2,-z'
'x+1/2,-y+1/2,z'
loop_
_atom_site_label
_atom_site_fract_x
_atom_site_fract_y
_atom_site_fract_z
Er1 0.244 0.000 0.335
Tm1 0.045 0.000 0.267
Tm2 0.079 0.500 0.597
Tm3 0.154 0.000 0.803
Tm4 0.162 0.500 0.124
Sn1 0.000 0.500 0.000
```

Properties
crystal system	monoclinic
V	653.4	Å³/cell
DFT formation energy	-0.102	eV/atom